[1]
A geometry-optimized RbLi2GePd structure. Source: Alexandria, functional PBE-GGA.

```
RbLi2GePd
1.0
5.1678 0.0000 0.0000
0.0000 5.1678 0.0000
0.0000 0.0000 4.7520
Rb Li Ge Pd
1 2 1 1
Direct
0.0000 0.0000 0.0000 Rb
0.0000 0.5000 0.5000 Li
0.5000 0.0000 0.5000 Li
0.5000 0.5000 0.0000 Ge
0.5000 0.5000 0.5000 Pd
```

Properties
SG = P4/mmm
DOS at the Fermi energy = 1.4 states/eV per cell
Energy of formation = -0.211 eV/atom
VASP energy = -3.13 eV per atom



[2]
A geometry-optimized Pm2Si2Pt3 structure. Source: Alexandria, functional PBE-GGA.

```
Pm2Si2Pt3
1.0
2.0524 -9.5666 0.0000
2.0524 9.5666 0.0000
0.0000 0.0000 7.0100
Pm Si Pt
4 4 6
Direct
0.0547 0.9453 0.7500 Pm
0.1557 0.8443 0.2500 Pm
0.8443 0.1557 0.7500 Pm
0.9453 0.0547 0.2500 Pm
0.3101 0.6899 0.0583 Si
0.3101 0.6899 0.4417 Si
0.6899 0.3101 0.5583 Si
0.6899 0.3101 0.9417 Si
0.2196 0.7804 0.7500 Pt
0.4323 0.5677 0.5470 Pt
0.4323 0.5677 0.9530 Pt
0.5677 0.4323 0.0470 Pt
0.5677 0.4323 0.4530 Pt
0.7804 0.2196 0.2500 Pt
```

Properties
Polymorph energy (0 for the lowest one) = 15 meV/atom
SG = Cmcm
DOS at the Fermi energy = 7.3 states/eV per cell
Formation energy without anion corrections = -1032 meV/atom
VASP energy = -6.53 eV per atom



[3]
A geometry-optimized Ca2ScTl3 structure. Source: Alexandria, functional PBE-GGA.

```
Ca2ScTl3
1.0
2.7070 -8.1273 0.0000
2.7070 8.1273 0.0000
0.0000 0.0000 7.4199
Ca Sc Tl
4 2 6
Direct
0.0000 0.0000 0.0000 Ca
0.0000 0.0000 0.5000 Ca
0.3364 0.6636 0.0000 Ca
0.6636 0.3364 0.0000 Ca
0.3355 0.6645 0.5000 Sc
0.6645 0.3355 0.5000 Sc
0.1716 0.8284 0.2673 Tl
0.1716 0.8284 0.7327 Tl
0.5000 0.5000 0.2644 Tl
0.5000 0.5000 0.7356 Tl
0.8284 0.1716 0.2673 Tl
0.8284 0.1716 0.7327 Tl
```

Properties
SG = Cmmm
DOS at the Fermi energy = 8.0 states/eV per cell
Energy of formation = -0.356 eV/atom
VASP energy = -3.26 eV per atom



[4]
A geometry-optimized Y5Au structure. Source: Alexandria, functional PBE-GGA.

```
Y5Au
1.0
5.4172 0.0000 0.0000
0.0000 1.8608 8.5853
0.0000 -1.8608 8.5853
Y Au
5 1
Direct
0.0000 0.0000 0.0000 Y
0.0000 0.3115 0.3115 Y
0.5000 0.1923 0.1923 Y
0.5000 0.5392 0.5392 Y
0.5000 0.8691 0.8691 Y
0.0000 0.6528 0.6528 Au
```

Properties
Polymorph energy (0 for the lowest one) = 97 meV/atom
SG = Amm2
DOS at the Fermi energy = 7.2 states/eV per cell
Energy of formation = -0.162 eV/atom
VASP energy = -6.09 eV per atom